--- P ---
Material: Li2TcAu
Method: DFT, PBE
State: optimized geometry

```
data_Li2TcAu
_space_group_name_H-M_alt 'P 1'
_space_group_IT_number 1
_cell_length_a 5.4833
_cell_length_b 5.4833
_cell_length_c 5.4833
_cell_angle_alpha 151.95
_cell_angle_beta 130.02
_cell_angle_gamma 58.30
loop_
_space_group_symop_operation_xyz
'x,y,z'
loop_
_atom_site_label
_atom_site_fract_x
_atom_site_fract_y
_atom_site_fract_z
_atom_site_occupancy
Au1 0.2414 0.7414 0.5000 1
Li1 0.0049 0.0049 0.0000 1
Li2 0.7574 0.2574 0.5000 1
Tc1 0.4963 0.4963 0.0000 1
```

Results
SG = No. 44
Fermi-level density of states = 2.45 states/eV/cell
Magnetization = 0.738 μB per cell

--- Q ---
Material: Li2TcAu
Method: DFT, PBE
State: optimized geometry

```
data_Li2TcAu
_space_group_name_H-M_alt 'P 1'
_space_group_IT_number 1
_cell_length_a 5.0149
_cell_length_b 5.0149
_cell_length_c 5.0149
_cell_angle_alpha 134.87
_cell_angle_beta 134.87
_cell_angle_gamma 65.73
loop_
_space_group_symop_operation_xyz
'x,y,z'
loop_
_atom_site_label
_atom_site_fract_x
_atom_site_fract_y
_atom_site_fract_z
_atom_site_occupancy
Au1 0.7500 0.2500 0.5000 1
Li1 0.0000 0.0000 0.0000 1
Li2 0.5000 0.5000 0.0000 1
Tc1 0.2500 0.7500 0.5000 1
```

Results
SG = No. 139
Fermi-level density of states = 4.20 states/eV/cell
Magnetization = 2.019 μB per cell

Relative energies, eV/atom: P 0.000; Q 0.093.

--- P ---
Material: Li2TcAu2
Method: DFT, PBE
State: optimized geometry

```
data_Li2TcAu2
_space_group_name_H-M_alt 'P 1'
_space_group_IT_number 1
_cell_length_a 4.5656
_cell_length_b 4.5656
_cell_length_c 4.9895
_cell_angle_alpha 62.77
_cell_angle_beta 62.77
_cell_angle_gamma 90.00
loop_
_space_group_symop_operation_xyz
'x,y,z'
loop_
_atom_site_label
_atom_site_fract_x
_atom_site_fract_y
_atom_site_fract_z
_atom_site_occupancy
Au1 0.7500 0.2500 0.5000 1
Au2 0.2500 0.7500 0.5000 1
Tc1 0.0000 0.0000 0.0000 1
Li1 0.3659 0.3659 0.2682 1
Li2 0.6341 0.6341 0.7318 1
```

Results
SG = No. 139
Fermi-level density of states = 1.92 states/eV/cell
Magnetization = 2.568 μB per cell

--- Q ---
Material: Li2TcAu2
Method: DFT, PBE
State: optimized geometry

```
data_Li2TcAu2
_space_group_name_H-M_alt 'P 1'
_space_group_IT_number 1
_cell_length_a 7.2821
_cell_length_b 7.2821
_cell_length_c 2.7288
_cell_angle_alpha 90.00
_cell_angle_beta 90.00
_cell_angle_gamma 90.00
loop_
_space_group_symop_operation_xyz
'x,y,z'
loop_
_atom_site_label
_atom_site_fract_x
_atom_site_fract_y
_atom_site_fract_z
_atom_site_occupancy
Au1 0.1828 0.6828 0.5000 1
Au2 0.6828 0.8172 0.5000 1
Au3 0.8172 0.3172 0.5000 1
Au4 0.3172 0.1828 0.5000 1
Tc1 0.0000 0.0000 0.0000 1
Tc2 0.5000 0.5000 0.0000 1
Li1 0.3823 0.8823 0.0000 1
Li2 0.8823 0.6177 0.0000 1
Li3 0.6177 0.1177 0.0000 1
Li4 0.1177 0.3823 0.0000 1
```

Results
SG = No. 127
Fermi-level density of states = 5.69 states/eV/cell
Magnetization = 0.000 μB per cell

Relative energies, eV/atom: P 0.345; Q 0.000.

--- P ---
Material: LiTcAu
Method: DFT, PBE
State: optimized geometry

```
data_LiTcAu
_space_group_name_H-M_alt 'P 1'
_space_group_IT_number 1
_cell_length_a 4.8241
_cell_length_b 4.8241
_cell_length_c 4.8241
_cell_angle_alpha 148.22
_cell_angle_beta 129.25
_cell_angle_gamma 61.13
loop_
_space_group_symop_operation_xyz
'x,y,z'
loop_
_atom_site_label
_atom_site_fract_x
_atom_site_fract_y
_atom_site_fract_z
_atom_site_occupancy
Au1 0.9977 0.9977 0.0000 1
Li1 0.3360 0.3360 0.0000 1
Tc1 0.6663 0.6663 0.0000 1
```

Results
SG = No. 44
Fermi-level density of states = 2.86 states/eV/cell
Magnetization = 0.000 μB per cell

--- Q ---
Material: LiTcAu
Method: DFT, PBE
State: optimized geometry

```
data_LiTcAu
_space_group_name_H-M_alt 'P 1'
_space_group_IT_number 1
_cell_length_a 4.2668
_cell_length_b 4.2668
_cell_length_c 4.2668
_cell_angle_alpha 60.00
_cell_angle_beta 60.00
_cell_angle_gamma 60.00
loop_
_space_group_symop_operation_xyz
'x,y,z'
loop_
_atom_site_label
_atom_site_fract_x
_atom_site_fract_y
_atom_site_fract_z
_atom_site_occupancy
Au1 0.7500 0.7500 0.7500 1
Li1 0.0000 0.0000 0.0000 1
Tc1 0.5000 0.5000 0.5000 1
```

Results
SG = No. 216
Fermi-level density of states = 4.37 states/eV/cell
Magnetization = 1.404 μB per cell

Relative energies, eV/atom: P 0.000; Q 0.391.

--- P ---
Material: LiTcAu3
Method: DFT, PBE
State: optimized geometry

```
data_LiTcAu3
_space_group_name_H-M_alt 'P 1'
_space_group_IT_number 1
_cell_length_a 4.4308
_cell_length_b 4.4308
_cell_length_c 4.4308
_cell_angle_alpha 90.00
_cell_angle_beta 90.00
_cell_angle_gamma 90.00
loop_
_space_group_symop_operation_xyz
'x,y,z'
loop_
_atom_site_label
_atom_site_fract_x
_atom_site_fract_y
_atom_site_fract_z
_atom_site_occupancy
Au1 0.0000 0.5000 0.0000 1
Au2 0.0000 0.0000 0.5000 1
Au3 0.5000 0.0000 0.0000 1
Tc1 0.5000 0.5000 0.5000 1
Li1 0.0000 0.0000 0.0000 1
```

Results
SG = No. 221
Fermi-level density of states = 2.60 states/eV/cell
Magnetization = 2.960 μB per cell

--- Q ---
Material: LiTcAu3
Method: DFT, PBE
State: optimized geometry

```
data_LiTcAu3
_space_group_name_H-M_alt 'P 1'
_space_group_IT_number 1
_cell_length_a 5.0925
_cell_length_b 5.0925
_cell_length_c 5.0925
_cell_angle_alpha 90.00
_cell_angle_beta 90.00
_cell_angle_gamma 90.00
loop_
_space_group_symop_operation_xyz
'x,y,z'
loop_
_atom_site_label
_atom_site_fract_x
_atom_site_fract_y
_atom_site_fract_z
_atom_site_occupancy
Au1 0.0000 0.5000 0.0000 1
Au2 0.0000 0.0000 0.5000 1
Au3 0.5000 0.0000 0.0000 1
Tc1 0.0000 0.0000 0.0000 1
Li1 0.5000 0.5000 0.5000 1
```

Results
SG = No. 221
Fermi-level density of states = 3.47 states/eV/cell
Magnetization = 2.094 μB per cell

Relative energies, eV/atom: P 0.000; Q 0.082.